# HfInRu2 PBE-GGA relaxed
# Mass density: 12.1 Mg/m³
# Calculated formation energy: -428 meV/atom
# Final energy: -33.0 eV for the cell shown
# Total moment: 0.00 μB/f.u.
data_HfInRu2
_cell_length_a 3.248
_cell_length_b 3.248
_cell_length_c 6.421
_cell_angle_alpha 90.00
_cell_angle_beta 90.00
_cell_angle_gamma 90.00
_symmetry_space_group_name_H-M 'P 1'
_symmetry_Int_Tables_number 1
_symmetry_space_group_name_Hall 'P 1'
loop_
_atom_site_label
_atom_site_type_symbol
_atom_site_fract_x
_atom_site_fract_y
_atom_site_fract_z
Ru1 Ru 0.000 0.000 0.755
Ru2 Ru 0.000 0.000 0.245
Hf1 Hf 0.500 0.500 0.000
In1 In 0.500 0.500 0.500

# NpTl2Rh2S6 PBE-GGA relaxed
# Mass density: 6.8 Mg/m³
# Final energy: -64.7 eV for the cell shown
# Total moment: 3.00 μB/f.u.
# Raw formation energy: -7.6 eV/f.u.
data_NpTl2Rh2S6
_cell_length_a 6.175
_cell_length_b 6.175
_cell_length_c 7.972
_cell_angle_alpha 96.56
_cell_angle_beta 96.56
_cell_angle_gamma 120.52
_symmetry_space_group_name_H-M 'P 1'
_symmetry_Int_Tables_number 1
_symmetry_space_group_name_Hall 'P 1'
loop_
_atom_site_label
_atom_site_type_symbol
_atom_site_fract_x
_atom_site_fract_y
_atom_site_fract_z
Np1 Np 0.000 0.000 0.500
Tl1 Tl 0.844 0.156 0.000
Tl2 Tl 0.156 0.844 0.000
Rh1 Rh 0.334 0.666 0.500
Rh2 Rh 0.666 0.334 0.500
S1 S 0.688 0.688 0.682
S2 S 0.054 0.417 0.682
S3 S 0.312 0.312 0.318
S4 S 0.417 0.054 0.682
S5 S 0.946 0.583 0.318
S6 S 0.583 0.946 0.318